Entry 1:
## YCoOs2 (meta-GGA SCAN)

Data for YCoOs2 at its PBEsol-relaxed geometry.

Unit cell a=2.797 b=3.745 c=6.032 alpha=90.00 beta=90.00 gamma=90.00
Fractional positions:
Co  0.500  0.500  0.789
Os  0.000  0.000  0.004
Os  0.500  0.500  0.194
Y  0.000  0.000  0.513

Summary:
Space group: Pmm2 (25)
Crystal system: orthorhombic
E above lowest polymorph, meV/atom: 0.0
DFT formation energy, eV/f.u.: 0.89
Spin magnetization, μB/f.u.: 1.6



Entry 2:
## YCoOs2 (meta-GGA SCAN)

Data for YCoOs2 at its PBEsol-relaxed geometry.

Unit cell a=2.856 b=2.856 c=7.493 alpha=90.00 beta=90.00 gamma=90.00
Fractional positions:
Co  0.500  0.500  0.500
Os  0.000  0.000  0.696
Os  0.000  0.000  0.304
Y  0.500  0.500  0.000

Summary:
Space group: P4/mmm (123)
Crystal system: tetragonal
E above lowest polymorph, meV/atom: 116.5
DFT formation energy, eV/f.u.: 1.35
Spin magnetization, μB/f.u.: 0.6



Entry 3:
## ZnCoOs2 (meta-GGA SCAN)

Data for ZnCoOs2 at its PBEsol-relaxed geometry.

Unit cell a=2.633 b=2.633 c=8.669 alpha=90.00 beta=90.00 gamma=117.41
Fractional positions:
Co  0.500  0.500  0.252
Os  0.000  0.000  0.012
Os  0.500  0.500  0.749
Zn  0.000  0.000  0.487

Summary:
Space group: Cmm2 (35)
Crystal system: orthorhombic
DFT formation energy, eV/f.u.: 1.62
Spin magnetization, μB/f.u.: 2.7



Entry 4:
## ZrCo2Os (meta-GGA SCAN)

Data for ZrCo2Os at its PBEsol-relaxed geometry.

Unit cell a=2.994 b=3.256 c=5.646 alpha=90.00 beta=90.00 gamma=90.00
Fractional positions:
Co  0.000  0.000  0.025
Co  0.500  0.500  0.252
Os  0.000  0.000  0.455
Zr  0.500  0.500  0.768

Summary:
Space group: Pmm2 (25)
Crystal system: orthorhombic
E above lowest polymorph, meV/atom: 0.0
DFT formation energy, eV/f.u.: 0.05
Spin magnetization, μB/f.u.: 2.9



Entry 5:
## Zr2CoOs (meta-GGA SCAN)

Data for Zr2CoOs at its PBEsol-relaxed geometry.

Unit cell a=4.534 b=4.534 c=4.534 alpha=60.00 beta=60.00 gamma=60.00
Fractional positions:
Os  0.500  0.500  0.500
Co  0.000  0.000  0.000
Zr  0.750  0.750  0.750
Zr  0.250  0.250  0.250

Summary:
Space group: Fm-3m (225)
Crystal system: cubic
E above lowest polymorph, meV/atom: 0.0
DFT formation energy, eV/f.u.: -2.42
Spin magnetization, μB/f.u.: 1.2



Entry 6:
## ZrCo2Os (meta-GGA SCAN)

Data for ZrCo2Os at its PBEsol-relaxed geometry.

Unit cell a=3.753 b=3.753 c=4.659 alpha=113.75 beta=113.75 gamma=90.00
Fractional positions:
Co  0.000  0.000  0.000
Co  0.750  0.250  0.500
Os  0.500  0.500  0.000
Zr  0.250  0.750  0.500

Summary:
Space group: I-4m2 (119)
Crystal system: tetragonal
E above lowest polymorph, meV/atom: 25.4
DFT formation energy, eV/f.u.: 0.15
Spin magnetization, μB/f.u.: 3.6



Entry 7:
## Zr2CoOs (meta-GGA SCAN)

Data for Zr2CoOs at its PBEsol-relaxed geometry.

Unit cell a=3.308 b=4.289 c=5.365 alpha=113.56 beta=107.96 gamma=90.00
Fractional positions:
Co  0.496  0.496  0.992
Os  0.252  0.752  0.504
Zr  0.995  0.995  0.989
Zr  0.757  0.257  0.514

Summary:
Space group: Imm2 (44)
Crystal system: orthorhombic
E above lowest polymorph, meV/atom: 433.2
DFT formation energy, eV/f.u.: -0.68
Spin magnetization, μB/f.u.: 0.0



Entry 8:
## ZrCoOs (meta-GGA SCAN)

Data for ZrCoOs at its PBEsol-relaxed geometry.

Unit cell a=2.687 b=3.593 c=5.213 alpha=110.16 beta=104.93 gamma=90.00
Fractional positions:
Co  0.031  0.031  0.061
Os  0.636  0.636  0.271
Zr  0.334  0.334  0.668

Summary:
Space group: Imm2 (44)
Crystal system: orthorhombic
DFT formation energy, eV/f.u.: 0.16
Spin magnetization, μB/f.u.: 0.8



Q: spin magnetization of number 6 (ZrCo2Os)?
A: 3.6 μB/f.u.